(1)
! NpNbMoOs PBE relaxed; values from VASP
! **DOS at the Fermi energy**: 5.037 states/eV/f.u.
! **ΔH_f (0 K)**: 0.096 eV per atom
&SYSTEM
  ibrav = 0, nat = 4, ntyp = 4
/
ATOMIC_SPECIES
Np 237.00 Np.upf
Nb 92.91 Nb.upf
Mo 95.94 Mo.upf
Os 190.23 Os.upf
ATOMIC_POSITIONS angstrom
Np 0.000 0.000 0.000
Nb 3.287 3.287 3.287
Mo 1.644 1.644 1.644
Os 4.931 4.931 4.931
CELL_PARAMETERS angstrom
0.000 3.287 3.287
3.287 0.000 3.287
3.287 3.287 0.000

---

(2)
! NpNbVMo PBE relaxed; values from VASP
! **DOS at the Fermi energy**: 9.332 states/eV/f.u.
! **ΔH_f (0 K)**: 0.272 eV per atom
&SYSTEM
  ibrav = 0, nat = 4, ntyp = 4
/
ATOMIC_SPECIES
Np 237.00 Np.upf
Nb 92.91 Nb.upf
V 50.94 V.upf
Mo 95.94 Mo.upf
ATOMIC_POSITIONS angstrom
Np 0.000 0.000 0.000
Nb 3.257 3.257 3.257
V 1.628 1.628 1.628
Mo 4.885 4.885 4.885
CELL_PARAMETERS angstrom
0.000 3.257 3.257
3.257 0.000 3.257
3.257 3.257 0.000